Below is an optimized crystal structure of CaHg2Ir, with properties calculated at the PBE-GGA level.

Lattice parameters (Å, degrees): 4.3419 4.3419 4.3713 90.00 90.00 89.96
With the nearest neighbours (Å) after each atom.
Fractional coordinates of all 4 atoms:
Hg1 0.0000 0.0000 0.0000  4 Hg 3.07, 4 Ir 3.08, 4 Ca 3.08
Hg2 0.5000 0.5000 0.0000  4 Hg 3.07, 4 Ca 3.08, 4 Ir 3.08
Ir1 0.5000 0.0000 0.5000  4 Ca 3.07, 8 Hg 3.08
Ca1 0.0000 0.5000 0.5000  4 Ir 3.07, 8 Hg 3.08

total DFT energy (no corrections): -2.88 eV/atom
space group: P4/mmm (123)

***

Below is an optimized crystal structure of CaHg4Ir, with properties calculated at the PBE-GGA level.

Lattice parameters (Å, degrees): 5.7382 5.7382 5.7382 60.00 60.00 60.00
With the nearest neighbours (Å) after each atom.
Fractional coordinates of all 6 atoms:
Hg1 0.3756 0.3756 0.8732  6 Hg 2.86-2.88
Hg2 0.3756 0.8732 0.3756  6 Hg 2.86-2.88
Hg3 0.3756 0.3756 0.3756  6 Hg 2.86-2.88
Hg4 0.8732 0.3756 0.3756  6 Hg 2.86-2.88
Ir1 0.7500 0.7500 0.7500  12 Hg 3.36, 4 Ca 3.51
Ca1 0.0000 0.0000 0.0000  12 Hg 3.37, 4 Ir 3.51

total DFT energy (no corrections): -1.79 eV/atom
space group: F-43m (216)

***

Below is an optimized crystal structure of Ca4HgIr, with properties calculated at the PBE-GGA level.

Lattice parameters (Å, degrees): 6.0689 6.0689 6.0689 60.00 60.00 60.00
With the nearest neighbours (Å) after each atom.
Fractional coordinates of all 6 atoms:
Ca1 0.3739 0.8784 0.3739  6 Ca 3.01-3.06
Ca2 0.3739 0.3739 0.3739  6 Ca 3.01-3.06
Ca3 0.3739 0.3739 0.8784  6 Ca 3.01-3.06
Ca4 0.8784 0.3739 0.3739  6 Ca 3.01-3.06
Hg1 0.7500 0.7500 0.7500  12 Ca 3.56, 4 Ir 3.72
Ir1 0.0000 0.0000 0.0000  12 Ca 3.56, 4 Hg 3.72

space group: F-43m (216)
E above lowest polymorph: 0.9893 eV/atom

***

Below is an optimized crystal structure of CaHg2Ir, with properties calculated at the PBE-GGA level.

Lattice parameters (Å, degrees): 3.3596 3.3602 7.8659 90.00 90.00 90.00
With the nearest neighbours (Å) after each atom.
Fractional coordinates of all 4 atoms:
Hg1 0.5000 0.5000 0.2879  4 Ir 2.84
Hg2 0.0000 0.0000 0.0117  8 Hg 3.22-3.36, 4 Ca 3.34
Ca1 0.5000 0.5000 0.7136  4 Ir 2.97
Ir1 0.0000 0.0000 0.4868  4 Hg 2.84, 4 Ca 2.97

total DFT energy (no corrections): -2.87 eV/atom
space group: P4mm (99)